No. 1
The following is a GGA-PBE calculation of a relaxed Rb2Mg2Pb15 crystal, from the Alexandria database.

Properties
Energy relative to the elements: -0.026 eV per atom
Size of the total moment: 0.000 μB/f.u.
Theoretical density: 8.44 Mg/m³

Lattice parameters (Å, degrees): 8.798 8.798 8.798 80.21 80.21 80.21
Atoms (fractional coordinates):
1 Rb 0.159 0.159 0.159
2 Rb 0.841 0.841 0.841
3 Mg 0.407 0.407 0.407
4 Mg 0.593 0.593 0.593
5 Pb 0.000 0.500 0.500
6 Pb 0.154 0.154 0.649
7 Pb 0.154 0.649 0.154
8 Pb 0.209 0.500 0.791
9 Pb 0.209 0.791 0.500
10 Pb 0.351 0.846 0.846
11 Pb 0.500 0.000 0.500
12 Pb 0.500 0.209 0.791
13 Pb 0.500 0.500 0.000
14 Pb 0.500 0.791 0.209
15 Pb 0.649 0.154 0.154
16 Pb 0.791 0.209 0.500
17 Pb 0.791 0.500 0.209
18 Pb 0.846 0.351 0.846
19 Pb 0.846 0.846 0.351

No. 2
The following is a GGA-PBE calculation of a relaxed RbMg6Pb12 crystal, from the Alexandria database.

Properties
Energy relative to the elements: -0.006 eV per atom
Size of the total moment: 0.000 μB/f.u.
Theoretical density: 7.65 Mg/m³

Lattice parameters (Å, degrees): 8.824 8.824 8.824 105.80 105.80 105.80
Atoms (fractional coordinates):
1 Rb 0.000 0.000 0.000
2 Mg 0.277 0.277 0.721
3 Mg 0.277 0.721 0.277
4 Mg 0.279 0.723 0.723
5 Mg 0.721 0.277 0.277
6 Mg 0.723 0.279 0.723
7 Mg 0.723 0.723 0.279
8 Pb 0.114 0.500 0.886
9 Pb 0.114 0.886 0.500
10 Pb 0.165 0.409 0.409
11 Pb 0.409 0.165 0.409
12 Pb 0.409 0.409 0.165
13 Pb 0.500 0.114 0.886
14 Pb 0.500 0.886 0.114
15 Pb 0.591 0.591 0.835
16 Pb 0.591 0.835 0.591
17 Pb 0.835 0.591 0.591
18 Pb 0.886 0.114 0.500
19 Pb 0.886 0.500 0.114

No. 3
The following is a GGA-PBE calculation of a relaxed RbMgPb3 crystal, from the Alexandria database.

Properties
Energy relative to the elements: -0.091 eV per atom
Size of the total moment: 0.000 μB/f.u.
Theoretical density: 6.84 Mg/m³

Lattice parameters (Å, degrees): 7.327 7.327 5.421 111.68 111.68 41.65
Atoms (fractional coordinates):
1 Rb 0.000 0.000 0.000
2 Mg 0.368 0.368 0.369
3 Pb 0.254 0.254 0.755
4 Pb 0.607 0.607 0.605
5 Pb 0.745 0.745 0.244